VASP calculation (PBE-GGA) on an optimized crystal structure of Pm3Pr2In2.

- Calculated formation energy: -1.2 eV per formula unit

Cell: 4.7449 25.5071 3.5751 Å, 90.00 90.00 90.00°
With the nearest neighbours (Å) after each atom.
Fractional positions:
1 Pm 0.0000 0.0000 0.0000  4 Pm 3.41-3.58, 8 In 3.45
2 Pm 0.0000 0.1338 0.0000  4 In 3.40, 3 Pm 3.41-3.58, 4 Pr 3.54
3 Pm 0.0000 0.8662 0.0000  4 In 3.40, 3 Pm 3.41-3.58, 4 Pr 3.54
4 Pm 0.5000 0.3662 0.0000  4 In 3.40, 3 Pm 3.41-3.58, 4 Pr 3.54
5 Pm 0.5000 0.5000 0.0000  4 Pm 3.41-3.58, 8 In 3.45
6 Pm 0.5000 0.6338 0.0000  4 In 3.40, 3 Pm 3.41-3.58, 4 Pr 3.54
7 Pr 0.0000 0.2910 0.5000  2 Pr 3.16, 4 Pm 3.54
8 Pr 0.0000 0.7090 0.5000  2 Pr 3.16, 4 Pm 3.54
9 Pr 0.5000 0.2090 0.5000  2 Pr 3.16, 4 Pm 3.54
10 Pr 0.5000 0.7910 0.5000  2 Pr 3.16, 4 Pm 3.54
11 In 0.0000 0.4308 0.5000  8 Pm 3.40-3.45, 3 In 3.53-3.58, 1 Pr 3.57
12 In 0.0000 0.5692 0.5000  8 Pm 3.40-3.45, 3 In 3.53-3.58, 1 Pr 3.57
13 In 0.5000 0.0692 0.5000  8 Pm 3.40-3.45, 3 In 3.53-3.58, 1 Pr 3.57
14 In 0.5000 0.9308 0.5000  8 Pm 3.40-3.45, 3 In 3.53-3.58, 1 Pr 3.57


VASP calculation (PBE-GGA) on an optimized crystal structure of Pm3Pr2In3.

- Calculated formation energy: -2.9 eV per formula unit

Cell: 4.5396 5.0456 21.0467 Å, 90.00 90.00 90.00°
With the nearest neighbours (Å) after each atom.
Fractional positions:
1 Pm 0.0000 0.0000 0.0000  8 In 3.39-3.43, 4 Pm 3.54
2 Pm 0.0000 0.5000 0.1180  6 In 3.37-3.39, 2 Pm 3.54, 2 Pr 3.54
3 Pm 0.0000 0.5000 0.8820  6 In 3.37-3.39, 2 Pm 3.54, 2 Pr 3.54
4 Pm 0.5000 0.0000 0.3820  6 In 3.37-3.39, 2 Pm 3.54, 2 Pr 3.54
5 Pm 0.5000 0.0000 0.6180  6 In 3.37-3.39, 2 Pm 3.54, 2 Pr 3.54
6 Pm 0.5000 0.5000 0.5000  8 In 3.39-3.43, 4 Pm 3.54
7 Pr 0.0000 0.0000 0.2363  2 In 3.30, 4 Pr 3.44, 2 Pm 3.54
8 Pr 0.0000 0.0000 0.7637  2 In 3.30, 4 Pr 3.44, 2 Pm 3.54
9 Pr 0.5000 0.5000 0.2637  2 In 3.30, 4 Pr 3.44, 2 Pm 3.54
10 Pr 0.5000 0.5000 0.7363  2 In 3.30, 4 Pr 3.44, 2 Pm 3.54
11 In 0.0000 0.0000 0.5000  8 Pm 3.37-3.39, 4 In 3.60
12 In 0.0000 0.5000 0.3777  2 Pr 3.30, 6 Pm 3.39-3.43, 2 In 3.60
13 In 0.0000 0.5000 0.6223  2 Pr 3.30, 6 Pm 3.39-3.43, 2 In 3.60
14 In 0.5000 0.0000 0.1223  2 Pr 3.30, 6 Pm 3.39-3.43, 2 In 3.60
15 In 0.5000 0.0000 0.8777  2 Pr 3.30, 6 Pm 3.39-3.43, 2 In 3.60
16 In 0.5000 0.5000 0.0000  8 Pm 3.37-3.39, 4 In 3.60


VASP calculation (PBE-GGA) on an optimized crystal structure of Pm2Pr3In6.

- Calculated formation energy: 0.4 eV per formula unit

Cell: 12.1739 12.1739 12.1739 Å, 151.57 151.57 40.64°
With the nearest neighbours (Å) after each atom.
Fractional positions:
1 Pm 0.0758 0.0758 0.0000  5 In 3.00-3.16
2 Pm 0.9242 0.9242 0.0000  5 In 3.00-3.16
3 Pr 0.3543 0.3543 0.0000  5 In 3.20-3.48, 1 Pr 3.33
4 Pr 0.5000 0.5000 0.0000  2 Pr 3.33, 8 In 3.36
5 Pr 0.6457 0.6457 0.0000  5 In 3.20-3.48, 1 Pr 3.33
6 In 0.0673 0.5673 0.5000  2 Pm 3.00, 1 In 3.07
7 In 0.2143 0.2143 0.0000  1 Pm 3.16, 1 Pr 3.20
8 In 0.4327 0.9327 0.5000  2 Pm 3.00, 1 In 3.07
9 In 0.5673 0.0673 0.5000  2 Pm 3.00, 1 In 3.07
10 In 0.7857 0.7857 0.0000  1 Pm 3.16, 1 Pr 3.20
11 In 0.9327 0.4327 0.5000  2 Pm 3.00, 1 In 3.07


VASP calculation (PBE-GGA) on an optimized crystal structure of Pm6Pr5In.

- Calculated formation energy: -0.7 eV per formula unit

Cell: 9.6376 9.6376 9.6376 Å, 149.32 115.34 73.26°
With the nearest neighbours (Å) after each atom.
Fractional positions:
1 Pm 0.0804 0.3367 0.7436  1 In 3.56, 7 Pr 3.58-3.73, 4 Pm 3.59-3.70
2 Pm 0.2429 0.0000 0.2429  2 In 3.57, 4 Pm 3.59, 6 Pr 3.59-3.68
3 Pm 0.4069 0.6633 0.7436  1 In 3.56, 7 Pr 3.58-3.73, 4 Pm 3.59-3.70
4 Pm 0.5931 0.3367 0.2564  1 In 3.56, 7 Pr 3.58-3.73, 4 Pm 3.59-3.70
5 Pm 0.7571 0.0000 0.7571  2 In 3.57, 4 Pm 3.59, 6 Pr 3.59-3.68
6 Pm 0.9196 0.6633 0.2564  1 In 3.56, 7 Pr 3.58-3.73, 4 Pm 3.59-3.70
7 Pr 0.1667 0.1667 0.0000  8 Pm 3.58-3.73, 2 In 3.63, 2 Pr 3.66
8 Pr 0.3362 0.8362 0.5000  4 Pr 3.59-3.66, 8 Pm 3.67
9 Pr 0.5000 0.5000 0.0000  4 Pr 3.59, 8 Pm 3.66-3.68
10 Pr 0.6638 0.1638 0.5000  4 Pr 3.59-3.66, 8 Pm 3.67
11 Pr 0.8333 0.8333 0.0000  8 Pm 3.58-3.73, 2 In 3.63, 2 Pr 3.66
12 In 0.0000 0.5000 0.5000  8 Pm 3.56-3.57, 4 Pr 3.63


VASP calculation (PBE-GGA) on an optimized crystal structure of Pm4PrIn2.

- Calculated formation energy: 0.6 eV per formula unit

Cell: 6.0099 6.0099 12.6917 Å, 90.00 90.00 90.00°
With the nearest neighbours (Å) after each atom.
Fractional positions:
1 Pm 0.0000 0.5000 0.0000  2 Pr 3.00, 2 Pm 3.17
2 Pm 0.0000 0.5000 0.2500  2 Pm 3.17, 4 In 3.39
3 Pm 0.0000 0.5000 0.5000  2 Pr 3.00, 2 Pm 3.17
4 Pm 0.0000 0.5000 0.7500  2 Pm 3.17, 4 In 3.39
5 Pm 0.5000 0.0000 0.0000  2 Pr 3.00, 2 Pm 3.17
6 Pm 0.5000 0.0000 0.2500  2 Pm 3.17, 4 In 3.39
7 Pm 0.5000 0.0000 0.5000  2 Pr 3.00, 2 Pm 3.17
8 Pm 0.5000 0.0000 0.7500  2 Pm 3.17, 4 In 3.39
9 Pr 0.0000 0.0000 0.0000  4 Pm 3.00
10 Pr 0.5000 0.5000 0.5000  4 Pm 3.00
11 In 0.0000 0.0000 0.3743  1 In 3.19, 8 Pm 3.39-3.40
12 In 0.0000 0.0000 0.6257  1 In 3.19, 8 Pm 3.39-3.40
13 In 0.5000 0.5000 0.1257  1 In 3.19, 8 Pm 3.39-3.40
14 In 0.5000 0.5000 0.8743  1 In 3.19, 8 Pm 3.39-3.40


VASP calculation (PBE-GGA) on an optimized crystal structure of Pm15Pr4In.

- Calculated formation energy: -0.7 eV per formula unit

Cell: 5.1166 5.1166 25.9543 Å, 90.00 90.00 90.00°
With the nearest neighbours (Å) after each atom.
Fractional positions:
1 Pm 0.0000 0.0000 0.0000  8 Pm 3.55, 4 In 3.62
2 Pm 0.0000 0.0000 0.1951  4 Pr 3.62, 8 Pm 3.65-3.69
3 Pm 0.0000 0.0000 0.3983  4 Pr 3.62, 8 Pm 3.66-3.68
4 Pm 0.0000 0.0000 0.6017  4 Pr 3.62, 8 Pm 3.66-3.68
5 Pm 0.0000 0.0000 0.8049  4 Pr 3.62, 8 Pm 3.65-3.69
6 Pm 0.0000 0.5000 0.0948  2 In 3.55, 8 Pm 3.55-3.65, 2 Pr 3.68
7 Pm 0.0000 0.5000 0.2974  8 Pm 3.62-3.69, 4 Pr 3.66-3.68
8 Pm 0.0000 0.5000 0.5000  8 Pm 3.62-3.68, 4 Pr 3.66
9 Pm 0.0000 0.5000 0.7026  8 Pm 3.62-3.69, 4 Pr 3.66-3.68
10 Pm 0.0000 0.5000 0.9052  2 In 3.55, 8 Pm 3.55-3.65, 2 Pr 3.68
11 Pm 0.5000 0.0000 0.0948  2 In 3.55, 8 Pm 3.55-3.65, 2 Pr 3.68
12 Pm 0.5000 0.0000 0.2974  8 Pm 3.62-3.69, 4 Pr 3.66-3.68
13 Pm 0.5000 0.0000 0.5000  8 Pm 3.62-3.68, 4 Pr 3.66
14 Pm 0.5000 0.0000 0.7026  8 Pm 3.62-3.69, 4 Pr 3.66-3.68
15 Pm 0.5000 0.0000 0.9052  2 In 3.55, 8 Pm 3.55-3.65, 2 Pr 3.68
16 Pr 0.5000 0.5000 0.1966  12 Pm 3.62-3.68
17 Pr 0.5000 0.5000 0.3992  12 Pm 3.62-3.68
18 Pr 0.5000 0.5000 0.6008  12 Pm 3.62-3.68
19 Pr 0.5000 0.5000 0.8034  12 Pm 3.62-3.68
20 In 0.5000 0.5000 0.0000  12 Pm 3.55-3.62


VASP calculation (PBE-GGA) on an optimized crystal structure of Pm6Pr12In.

- Calculated formation energy: 1.0 eV per formula unit

Cell: 8.7648 8.7648 8.7648 Å, 88.63 88.63 88.63°
With the nearest neighbours (Å) after each atom.
Fractional positions:
1 Pm 0.2095 0.5980 0.7574  7 Pr 3.43-3.79, 1 In 3.47, 2 Pm 3.52
2 Pm 0.2426 0.7905 0.4020  7 Pr 3.43-3.79, 1 In 3.47, 2 Pm 3.52
3 Pm 0.4020 0.2426 0.7905  7 Pr 3.43-3.79, 1 In 3.47, 2 Pm 3.52
4 Pm 0.5980 0.7574 0.2095  7 Pr 3.43-3.79, 1 In 3.47, 2 Pm 3.52
5 Pm 0.7574 0.2095 0.5980  7 Pr 3.43-3.79, 1 In 3.47, 2 Pm 3.52
6 Pm 0.7905 0.4020 0.2426  7 Pr 3.43-3.79, 1 In 3.47, 2 Pm 3.52
7 Pr 0.0356 0.2844 0.9320  4 Pr 3.43-3.74, 3 Pm 3.43-3.58
8 Pr 0.0680 0.9644 0.7156  4 Pr 3.43-3.74, 3 Pm 3.43-3.58
9 Pr 0.1384 0.3204 0.4830  4 Pm 3.54-3.79, 1 In 3.58, 5 Pr 3.62-3.94
10 Pr 0.2844 0.9320 0.0356  4 Pr 3.43-3.74, 3 Pm 3.43-3.58
11 Pr 0.3204 0.4830 0.1384  4 Pm 3.54-3.79, 1 In 3.58, 5 Pr 3.62-3.94
12 Pr 0.4830 0.1384 0.3204  4 Pm 3.54-3.79, 1 In 3.58, 5 Pr 3.62-3.94
13 Pr 0.5170 0.8616 0.6796  4 Pm 3.54-3.79, 1 In 3.58, 5 Pr 3.62-3.94
14 Pr 0.6796 0.5170 0.8616  4 Pm 3.54-3.79, 1 In 3.58, 5 Pr 3.62-3.94
15 Pr 0.7156 0.0680 0.9644  4 Pr 3.43-3.74, 3 Pm 3.43-3.58
16 Pr 0.8616 0.6796 0.5170  4 Pm 3.54-3.79, 1 In 3.58, 5 Pr 3.62-3.94
17 Pr 0.9320 0.0356 0.2844  4 Pr 3.43-3.74, 3 Pm 3.43-3.58
18 Pr 0.9644 0.7156 0.0680  4 Pr 3.43-3.74, 3 Pm 3.43-3.58
19 In 0.5000 0.5000 0.5000  6 Pm 3.47, 6 Pr 3.58


VASP calculation (PBE-GGA) on an optimized crystal structure of Pm2Pr6In.

- Calculated formation energy: -0.4 eV per formula unit

Cell: 11.6492 11.6492 6.4133 Å, 105.92 105.92 47.74°
With the nearest neighbours (Å) after each atom.
Fractional positions:
1 Pm 0.1713 0.3286 0.0678  3 Pm 3.35-3.53, 6 Pr 3.55-3.69
2 Pm 0.3286 0.1713 0.5678  3 Pm 3.35-3.53, 6 Pr 3.55-3.69
3 Pm 0.6714 0.8287 0.4322  3 Pm 3.35-3.53, 6 Pr 3.55-3.69
4 Pm 0.8287 0.6714 0.9322  3 Pm 3.35-3.53, 6 Pr 3.55-3.69
5 Pr 0.0052 0.1489 0.7188  2 In 3.41-3.49, 6 Pr 3.43-3.63, 1 Pm 3.69
6 Pr 0.0827 0.5828 0.5832  5 Pr 3.36-3.61, 1 In 3.40, 4 Pm 3.55-3.63
7 Pr 0.1489 0.0052 0.2188  2 In 3.41-3.49, 6 Pr 3.43-3.63, 1 Pm 3.69
8 Pr 0.3508 0.4950 0.0654  2 In 3.40-3.48, 6 Pr 3.43-3.63, 1 Pm 3.69
9 Pr 0.4172 0.9173 0.9168  5 Pr 3.36-3.61, 1 In 3.40, 4 Pm 3.55-3.63
10 Pr 0.4950 0.3508 0.5654  2 In 3.40-3.48, 6 Pr 3.43-3.63, 1 Pm 3.69
11 Pr 0.5050 0.6492 0.4346  2 In 3.40-3.48, 6 Pr 3.43-3.63, 1 Pm 3.69
12 Pr 0.5828 0.0827 0.0832  5 Pr 3.36-3.61, 1 In 3.40, 4 Pm 3.55-3.63
13 Pr 0.6492 0.5050 0.9346  2 In 3.40-3.48, 6 Pr 3.43-3.63, 1 Pm 3.69
14 Pr 0.8511 0.9948 0.7812  2 In 3.41-3.49, 6 Pr 3.43-3.63, 1 Pm 3.69
15 Pr 0.9173 0.4172 0.4168  5 Pr 3.36-3.61, 1 In 3.40, 4 Pm 3.55-3.63
16 Pr 0.9948 0.8511 0.2812  2 In 3.41-3.49, 6 Pr 3.43-3.63, 1 Pm 3.69
17 In 0.2503 0.7497 0.7500  10 Pr 3.40-3.49
18 In 0.7497 0.2503 0.2500  10 Pr 3.40-3.49


VASP calculation (PBE-GGA) on an optimized crystal structure of Pm2Pr2In7.

- Calculated formation energy: -0.3 eV per formula unit

Cell: 7.0542 7.0542 7.4706 Å, 90.00 90.00 102.84°
With the nearest neighbours (Å) after each atom.
Fractional positions:
1 Pm 0.2008 0.7992 0.0000  7 In 3.16-3.30
2 Pm 0.7992 0.2008 0.0000  7 In 3.16-3.30
3 Pr 0.3194 0.3194 0.5000  6 In 3.17-3.20, 1 Pr 3.18
4 Pr 0.6806 0.6806 0.5000  6 In 3.17-3.20, 1 Pr 3.18
5 In 0.0000 0.0000 0.3023  1 In 2.95, 2 Pm 3.16, 2 Pr 3.17
6 In 0.0000 0.0000 0.6977  1 In 2.95, 2 Pm 3.16, 2 Pr 3.17
7 In 0.0000 0.5000 0.2971  1 In 3.03, 2 Pm 3.17, 2 Pr 3.20
8 In 0.0000 0.5000 0.7029  1 In 3.03, 2 Pm 3.17, 2 Pr 3.20
9 In 0.5000 0.0000 0.2971  1 In 3.03, 2 Pm 3.17, 2 Pr 3.20
10 In 0.5000 0.0000 0.7029  1 In 3.03, 2 Pm 3.17, 2 Pr 3.20
11 In 0.5000 0.5000 0.0000  2 Pm 3.30


VASP calculation (PBE-GGA) on an optimized crystal structure of Pm2PrIn.

- Calculated formation energy: -0.5 eV per formula unit

Cell: 3.7367 3.7367 33.0518 Å, 90.00 90.00 120.00°
With the nearest neighbours (Å) after each atom.
Fractional positions:
1 Pm 0.0000 0.0000 0.0000  3 In 3.29
2 Pm 0.0000 0.0000 0.1823  3 In 3.31, 3 Pr 3.69
3 Pm 0.3333 0.6667 0.6667  3 In 3.29
4 Pm 0.3333 0.6667 0.8489  3 In 3.31, 3 Pr 3.69
5 Pm 0.6667 0.3333 0.3333  3 In 3.29
6 Pm 0.6667 0.3333 0.5156  3 In 3.31, 3 Pr 3.69
7 Pr 0.0000 0.0000 0.7582  6 Pm 3.69-3.72, 6 Pr 3.74
8 Pr 0.3333 0.6667 0.4249  6 Pm 3.69-3.72, 6 Pr 3.74
9 Pr 0.6667 0.3333 0.0915  6 Pm 3.69-3.72, 6 Pr 3.74
10 In 0.0000 0.0000 0.5914  6 Pm 3.29-3.31
11 In 0.3333 0.6667 0.2581  6 Pm 3.29-3.31
12 In 0.6667 0.3333 0.9247  6 Pm 3.29-3.31


VASP calculation (PBE-GGA) on an optimized crystal structure of PmPr4In.

- Calculated formation energy: -0.5 eV per formula unit

Cell: 4.2527 4.2527 11.0871 Å, 90.00 90.00 90.00°
With the nearest neighbours (Å) after each atom.
Fractional positions:
1 Pm 0.0000 0.0000 0.0000  10 Pr 3.54-3.90
2 Pr 0.0000 0.0000 0.3518  5 Pr 3.29-3.63, 4 In 3.43
3 Pr 0.0000 0.0000 0.6482  5 Pr 3.29-3.63, 4 In 3.43
4 Pr 0.5000 0.5000 0.1683  4 Pm 3.54, 5 Pr 3.63-3.73, 1 In 3.68
5 Pr 0.5000 0.5000 0.8317  4 Pm 3.54, 5 Pr 3.63-3.73, 1 In 3.68
6 In 0.5000 0.5000 0.5000  10 Pr 3.43-3.68


VASP calculation (PBE-GGA) on an optimized crystal structure of PmPr6In3.

- Calculated formation energy: -2.5 eV per formula unit

Cell: 9.7128 5.6347 12.3873 Å, 90.00 110.87 90.00°
With the nearest neighbours (Å) after each atom.
Fractional positions:
1 Pm 0.0558 0.2500 0.4315  8 Pr 3.31-3.64, 2 Pm 3.65, 1 In 3.68
2 Pm 0.9442 0.7500 0.5685  8 Pr 3.31-3.64, 2 Pm 3.65, 1 In 3.68
3 Pr 0.0922 0.7500 0.8802  3 In 3.28-3.38, 6 Pr 3.29-3.66, 1 Pm 3.61
4 Pr 0.1372 0.7500 0.1560  4 Pr 3.29-3.57, 3 In 3.49
5 Pr 0.1598 0.2500 0.7166  3 Pm 3.31-3.60, 4 In 3.38-3.70, 3 Pr 3.62-3.66
6 Pr 0.2674 0.7500 0.4959  4 In 3.35-3.55, 3 Pm 3.41-3.56, 1 Pr 3.54
7 Pr 0.3574 0.2500 0.3218  5 In 3.33-3.48, 3 Pr 3.54-3.69, 1 Pm 3.64
8 Pr 0.4627 0.7500 0.0846  7 In 3.38-3.74, 5 Pr 3.57-3.73
9 Pr 0.5373 0.2500 0.9154  7 In 3.38-3.74, 5 Pr 3.57-3.73
10 Pr 0.6426 0.7500 0.6782  5 In 3.33-3.48, 3 Pr 3.54-3.69, 1 Pm 3.64
11 Pr 0.7326 0.2500 0.5041  4 In 3.35-3.55, 3 Pm 3.41-3.56, 1 Pr 3.54
12 Pr 0.8402 0.7500 0.2834  3 Pm 3.31-3.60, 4 In 3.38-3.70, 3 Pr 3.62-3.66
13 Pr 0.8628 0.2500 0.8440  4 Pr 3.29-3.57, 3 In 3.49
14 Pr 0.9078 0.2500 0.1198  3 In 3.28-3.38, 6 Pr 3.29-3.66, 1 Pm 3.61
15 In 0.2300 0.2500 0.0304  11 Pr 3.37-3.74
16 In 0.3654 0.7500 0.7836  8 Pr 3.28-3.51
17 In 0.4471 0.2500 0.6199  8 Pr 3.33-3.55, 1 Pm 3.68, 2 In 3.72
18 In 0.5529 0.7500 0.3801  8 Pr 3.33-3.55, 1 Pm 3.68, 2 In 3.72
19 In 0.6346 0.2500 0.2164  8 Pr 3.28-3.51
20 In 0.7700 0.7500 0.9696  11 Pr 3.37-3.74